1.
{
  "formula": "CeZr7O16",
  "functional": "PBE-GGA",
  "state": "optimized geometry",
  "formation_energy_uncorrected_kj_per_mol_fu": -7676,
  "vol_a3_per_cell": 287.7,
  "dos_at_fermi_per_ev_cell": 0.0,
  "magnetic_moment_mub_per_cell": 0.00,
  "cell": [[7.4261, -0.0061, 0.0065], [3.8002, 6.3801, 0.0065], [1.9976, 1.1342, 6.0726]],
  "species": ["O", "O", "O", "O", "O", "O", "O", "O", "O", "O", "O", "O", "O", "O", "O", "O", "Zr", "Zr", "Zr", "Zr", "Zr", "Zr", "Zr", "Ce"],
  "fractional_positions": [[0.8165, 0.8165, 0.1556], [0.0485, 0.5485, 0.5947], [0.9262, 0.4210, 0.3479], [0.4210, 0.9262, 0.3479], [0.9489, 0.9489, 0.4044], [0.0779, 0.0779, 0.6376], [0.7883, 0.3176, 0.1044], [0.2029, 0.2029, 0.9032], [0.6691, 0.1776, 0.8473], [0.4467, 0.4467, 0.4166], [0.3278, 0.3278, 0.1534], [0.5485, 0.0485, 0.5947], [0.3176, 0.7883, 0.1044], [0.1776, 0.6691, 0.8473], [0.7078, 0.7078, 0.8876], [0.5764, 0.5764, 0.6519], [0.7494, 0.7494, 0.5044], [0.9948, 0.5014, 0.0039], [0.7492, 0.2512, 0.4995], [0.5014, 0.9948, 0.0039], [0.4989, 0.4989, 0.9952], [0.2531, 0.2531, 0.4959], [0.2512, 0.7492, 0.4995], [0.0003, 0.0003, 0.9985]]
}

2.
{
  "formula": "Ce3ZrO6",
  "functional": "PBE-GGA",
  "state": "optimized geometry",
  "formation_energy_uncorrected_kj_per_mol_fu": -3101,
  "vol_a3_per_cell": 326.9,
  "dos_at_fermi_per_ev_cell": 28.2,
  "magnetic_moment_mub_per_cell": 8.09,
  "cell": [[6.8908, -0.0665, -0.2146], [-0.2193, 6.8877, -0.2146], [-0.0650, -0.0665, 6.8939]],
  "species": ["O", "O", "O", "O", "O", "O", "O", "O", "O", "O", "O", "O", "Ce", "Ce", "Ce", "Ce", "Ce", "Ce", "Zr", "Zr"],
  "fractional_positions": [[0.5429, 0.4108, 0.1992], [0.9390, 0.6993, 0.0813], [0.8008, 0.4571, 0.5892], [0.6993, 0.0813, 0.9390], [0.0610, 0.3007, 0.9187], [0.3007, 0.9187, 0.0610], [0.4571, 0.5892, 0.8008], [0.1992, 0.5429, 0.4108], [0.0813, 0.9390, 0.6993], [0.5892, 0.8008, 0.4571], [0.4108, 0.1992, 0.5429], [0.9187, 0.0610, 0.3007], [0.7461, 0.4467, 0.9322], [0.5533, 0.0678, 0.2539], [0.0678, 0.2539, 0.5533], [0.9322, 0.7461, 0.4467], [0.2539, 0.5533, 0.0678], [0.4467, 0.9322, 0.7461], [0.0000, 0.0000, 0.0000], [0.5000, 0.5000, 0.5000]]
}

3.
{
  "formula": "Ce3Zr5O16",
  "functional": "PBE-GGA",
  "state": "optimized geometry",
  "formation_energy_uncorrected_kj_per_mol_fu": -7746,
  "vol_a3_per_cell": 300.2,
  "dos_at_fermi_per_ev_cell": 0.0,
  "magnetic_moment_mub_per_cell": 0.00,
  "cell": [[-0.0927, -6.6106, -3.5225], [-0.4493, -3.4312, 6.6439], [-5.3397, 0.2096, -0.2528]],
  "species": ["O", "O", "O", "O", "O", "O", "O", "O", "O", "O", "O", "O", "O", "O", "O", "O", "Zr", "Zr", "Zr", "Zr", "Zr", "Ce", "Ce", "Ce"],
  "fractional_positions": [[0.2435, 0.0195, 0.2224], [0.0195, 0.2435, 0.7776], [0.0111, 0.7291, 0.2758], [0.5216, 0.7232, 0.7890], [0.2396, 0.5188, 0.6934], [0.2768, 0.4784, 0.2110], [0.4784, 0.2768, 0.7890], [0.5188, 0.2396, 0.3066], [0.4812, 0.7604, 0.3066], [0.7291, 0.0111, 0.7242], [0.7232, 0.5216, 0.2110], [0.9889, 0.2709, 0.2758], [0.2709, 0.9889, 0.7242], [0.7604, 0.4812, 0.6934], [0.7565, 0.9805, 0.2224], [0.9805, 0.7565, 0.7776], [0.0000, 0.5000, 0.5003], [0.7525, 0.7525, 0.0000], [0.5000, 0.0000, 0.4997], [0.5000, 0.5000, 0.5000], [0.2475, 0.2475, 0.0000], [0.2568, 0.7432, 0.0000], [0.7432, 0.2568, 0.0000], [0.0000, 0.0000, 0.5000]]
}

4.
{
  "formula": "Ce6ZrO12",
  "functional": "PBE-GGA",
  "state": "optimized geometry",
  "formation_energy_uncorrected_kj_per_mol_fu": -6330,
  "vol_a3_per_cell": 290.4,
  "dos_at_fermi_per_ev_cell": 27.2,
  "magnetic_moment_mub_per_cell": 4.07,
  "cell": [[6.6038, 0.1960, -1.2018], [-1.4738, 6.4402, -1.2018], [0.1515, 0.1960, 6.7106]],
  "species": ["O", "O", "O", "O", "O", "O", "O", "O", "O", "O", "O", "O", "Ce", "Ce", "Ce", "Ce", "Ce", "Ce", "Zr"],
  "fractional_positions": [[0.9297, 0.6919, 0.0538], [0.1770, 0.5880, 0.4348], [0.0703, 0.3081, 0.9462], [0.5880, 0.4348, 0.1770], [0.3081, 0.9462, 0.0703], [0.9462, 0.0703, 0.3081], [0.6919, 0.0538, 0.9297], [0.4348, 0.1770, 0.5880], [0.4120, 0.5652, 0.8230], [0.5652, 0.8230, 0.4120], [0.0538, 0.9297, 0.6919], [0.8230, 0.4120, 0.5652], [0.1373, 0.2969, 0.6027], [0.3973, 0.8627, 0.7031], [0.2969, 0.6027, 0.1373], [0.7031, 0.3973, 0.8627], [0.8627, 0.7031, 0.3973], [0.6027, 0.1373, 0.2969], [0.0000, 0.0000, 0.0000]]
}

5.
{
  "formula": "CeZrO2",
  "functional": "PBE-GGA",
  "state": "optimized geometry",
  "formation_energy_uncorrected_kj_per_mol_fu": -1004,
  "vol_a3_per_cell": 74.6,
  "dos_at_fermi_per_ev_cell": 5.9,
  "magnetic_moment_mub_per_cell": 0.77,
  "cell": [[3.7470, 0.0000, 0.0000], [1.8735, 3.2450, 0.0000], [1.8735, 1.0817, 6.1352]],
  "species": ["O", "O", "Ce", "Zr"],
  "fractional_positions": [[0.8875, 0.8875, 0.3375], [0.1125, 0.1125, 0.6625], [0.5000, 0.5000, 0.5000], [0.0000, 0.0000, 0.0000]]
}

6.
{
  "formula": "CeZrO4",
  "functional": "PBE-GGA",
  "state": "optimized geometry",
  "formation_energy_uncorrected_kj_per_mol_fu": -1935,
  "vol_a3_per_cell": 74.8,
  "dos_at_fermi_per_ev_cell": 0.0,
  "magnetic_moment_mub_per_cell": 0.00,
  "cell": [[-3.0653, 2.1335, 0.5818], [-3.3320, -1.6339, 0.7175], [-0.9200, 0.2939, 6.3511]],
  "species": ["O", "O", "O", "O", "Ce", "Zr"],
  "fractional_positions": [[0.8791, 0.8791, 0.3625], [0.1209, 0.1209, 0.6375], [0.3699, 0.3699, 0.8901], [0.6301, 0.6301, 0.1099], [0.5000, 0.5000, 0.5000], [0.0000, 0.0000, 0.0000]]
}

Number 1: DFT total energy -9.3608 eV/atom, theoretical density 5971 kg/m³. Number 2: DFT total energy -8.8238 eV/atom, theoretical density 6173 kg/m³. Number 3: DFT total energy -9.1731 eV/atom, theoretical density 6264 kg/m³. Number 4: DFT total energy -8.9079 eV/atom, theoretical density 6427 kg/m³. Number 5: DFT total energy -8.7007 eV/atom, theoretical density 5862 kg/m³. Number 6: DFT total energy -9.0624 eV/atom, theoretical density 6561 kg/m³.